Record 1
# RbSrInI6 GGA-PBE relaxed
data_RbSrInI6
_symmetry_space_group_name_H-M 'P 1'
_symmetry_Int_Tables_number 1
_cell_length_a 8.2056
_cell_length_b 8.2056
_cell_length_c 15.7165
_cell_angle_alpha 90.00
_cell_angle_beta 90.00
_cell_angle_gamma 120.00
loop_
_symmetry_equiv_pos_as_xyz
'x,y,z'
loop_
_atom_site_label
_atom_site_fract_x
_atom_site_fract_y
_atom_site_fract_z
_atom_site_occupancy
Rb1 0.0000 0.0000 0.0000 1
Rb2 0.0000 0.0000 0.5000 1
Sr1 0.3333 0.6667 0.2500 1
Sr2 0.6667 0.3333 0.7500 1
In1 0.3333 0.6667 0.7500 1
In2 0.6667 0.3333 0.2500 1
I1 0.0307 0.3849 0.6384 1
I2 0.0307 0.6459 0.8616 1
I3 0.3541 0.3849 0.8616 1
I4 0.3541 0.9693 0.6384 1
I5 0.3849 0.0307 0.1384 1
I6 0.3849 0.3541 0.3616 1
I7 0.6151 0.6459 0.6384 1
I8 0.6151 0.9693 0.8616 1
I9 0.6459 0.0307 0.3616 1
I10 0.6459 0.6151 0.1384 1
I11 0.9693 0.3541 0.1384 1
I12 0.9693 0.6151 0.3616 1
# Calculated density (g/cm³): 3.8
# Symmetry: P-31c (163)
# D(E_F) (states/eV/cell): 0.000
# Energy (eV per formula unit): -24.6

***

Record 2
# Rb2TbInI6 GGA-PBE relaxed
data_Rb2TbInI6
_symmetry_space_group_name_H-M 'P 1'
_symmetry_Int_Tables_number 1
_cell_length_a 8.9998
_cell_length_b 8.9998
_cell_length_c 8.9998
_cell_angle_alpha 59.00
_cell_angle_beta 59.00
_cell_angle_gamma 59.00
loop_
_symmetry_equiv_pos_as_xyz
'x,y,z'
loop_
_atom_site_label
_atom_site_fract_x
_atom_site_fract_y
_atom_site_fract_z
_atom_site_occupancy
Rb1 0.0000 0.0000 0.0000 1
Rb2 0.4912 0.4912 0.4912 1
Tb1 0.7063 0.7063 0.7063 1
In1 0.2116 0.2116 0.2116 1
I1 0.0318 0.4700 0.8463 1
I2 0.3751 0.9241 0.5714 1
I3 0.4700 0.8463 0.0318 1
I4 0.5714 0.3751 0.9241 1
I5 0.8463 0.0318 0.4700 1
I6 0.9241 0.5714 0.3751 1
# Calculated density (g/cm³): 4.0
# Symmetry: R3 (146)
# D(E_F) (states/eV/cell): 0.000
# Energy (eV per formula unit): -31.2

***

Record 3
# RbTbIn2I6 GGA-PBE relaxed
data_RbTbIn2I6
_symmetry_space_group_name_H-M 'P 1'
_symmetry_Int_Tables_number 1
_cell_length_a 9.1326
_cell_length_b 9.1326
_cell_length_c 9.1326
_cell_angle_alpha 56.62
_cell_angle_beta 56.62
_cell_angle_gamma 56.62
loop_
_symmetry_equiv_pos_as_xyz
'x,y,z'
loop_
_atom_site_label
_atom_site_fract_x
_atom_site_fract_y
_atom_site_fract_z
_atom_site_occupancy
Rb1 0.0000 0.0000 0.0000 1
Tb1 0.4900 0.4900 0.4900 1
In1 0.2980 0.2980 0.2980 1
In2 0.8083 0.8083 0.8083 1
I1 0.1200 0.6771 0.4209 1
I2 0.2565 0.5836 0.8459 1
I3 0.4209 0.1200 0.6771 1
I4 0.5836 0.8459 0.2565 1
I5 0.6771 0.4209 0.1200 1
I6 0.8459 0.2565 0.5836 1
# Calculated density (g/cm³): 4.1
# Symmetry: R3 (146)
# D(E_F) (states/eV/cell): 0.000
# Energy (eV per formula unit): -30.8

***

Record 4
# Rb2InTcI6 GGA-PBE relaxed
data_Rb2InTcI6
_symmetry_space_group_name_H-M 'P 1'
_symmetry_Int_Tables_number 1
_cell_length_a 8.5008
_cell_length_b 8.5008
_cell_length_c 8.5008
_cell_angle_alpha 60.00
_cell_angle_beta 60.00
_cell_angle_gamma 60.00
loop_
_symmetry_equiv_pos_as_xyz
'x,y,z'
loop_
_atom_site_label
_atom_site_fract_x
_atom_site_fract_y
_atom_site_fract_z
_atom_site_occupancy
Rb1 0.2500 0.2500 0.2500 1
Rb2 0.7500 0.7500 0.7500 1
In1 0.0000 0.0000 0.0000 1
Tc1 0.5000 0.5000 0.5000 1
I1 0.2698 0.2698 0.7302 1
I2 0.2698 0.7302 0.2698 1
I3 0.2698 0.7302 0.7302 1
I4 0.7302 0.2698 0.2698 1
I5 0.7302 0.2698 0.7302 1
I6 0.7302 0.7302 0.2698 1
# Calculated density (g/cm³): 4.4
# Symmetry: Fm-3m (225)
# D(E_F) (states/eV/cell): 14.602
# Energy (eV per formula unit): -30.8

***

Record 5
# RbTiIn2I6 GGA-PBE relaxed
data_RbTiIn2I6
_symmetry_space_group_name_H-M 'P 1'
_symmetry_Int_Tables_number 1
_cell_length_a 8.8910
_cell_length_b 8.8910
_cell_length_c 8.8910
_cell_angle_alpha 56.48
_cell_angle_beta 56.48
_cell_angle_gamma 56.48
loop_
_symmetry_equiv_pos_as_xyz
'x,y,z'
loop_
_atom_site_label
_atom_site_fract_x
_atom_site_fract_y
_atom_site_fract_z
_atom_site_occupancy
Rb1 0.0000 0.0000 0.0000 1
Ti1 0.4910 0.4910 0.4910 1
In1 0.2985 0.2985 0.2985 1
In2 0.8121 0.8121 0.8121 1
I1 0.1391 0.6810 0.4213 1
I2 0.2750 0.5766 0.8330 1
I3 0.4213 0.1391 0.6810 1
I4 0.5766 0.8330 0.2750 1
I5 0.6810 0.4213 0.1391 1
I6 0.8330 0.2750 0.5766 1
# Calculated density (g/cm³): 4.1
# Symmetry: R3 (146)
# D(E_F) (states/eV/cell): 6.379
# Energy (eV per formula unit): -31.1

***

Record 6
# RbTiInI6 GGA-PBE relaxed
data_RbTiInI6
_symmetry_space_group_name_H-M 'P 1'
_symmetry_Int_Tables_number 1
_cell_length_a 8.4110
_cell_length_b 8.4110
_cell_length_c 6.9070
_cell_angle_alpha 90.01
_cell_angle_beta 90.01
_cell_angle_gamma 120.16
loop_
_symmetry_equiv_pos_as_xyz
'x,y,z'
loop_
_atom_site_label
_atom_site_fract_x
_atom_site_fract_y
_atom_site_fract_z
_atom_site_occupancy
Rb1 0.0000 0.0000 0.0000 1
Ti1 0.3330 0.6670 0.0000 1
In1 0.6666 0.3334 0.5000 1
I1 0.0583 0.4049 0.2367 1
I2 0.0592 0.6546 0.7626 1
I3 0.3451 0.4061 0.7624 1
I4 0.3454 0.9408 0.2374 1
I5 0.5939 0.6549 0.2376 1
I6 0.5951 0.9417 0.7633 1
# Calculated density (g/cm³): 4.0
# Symmetry: C2 (5)
# Energy (eV per formula unit): -27.9

***

Record 7
# RbTl2InI5 GGA-PBE relaxed
data_RbTl2InI5
_symmetry_space_group_name_H-M 'P 1'
_symmetry_Int_Tables_number 1
_cell_length_a 11.4483
_cell_length_b 11.4483
_cell_length_c 14.1594
_cell_angle_alpha 90.00
_cell_angle_beta 90.00
_cell_angle_gamma 152.72
loop_
_symmetry_equiv_pos_as_xyz
'x,y,z'
loop_
_atom_site_label
_atom_site_fract_x
_atom_site_fract_y
_atom_site_fract_z
_atom_site_occupancy
Rb1 0.1978 0.8022 0.5000 1
Rb2 0.8022 0.1978 0.0000 1
Tl1 0.1341 0.8659 0.1504 1
Tl2 0.1340 0.8660 0.8107 1
Tl3 0.8660 0.1340 0.3107 1
Tl4 0.8659 0.1341 0.6504 1
In1 0.4728 0.5272 0.9089 1
In2 0.5272 0.4728 0.4089 1
I1 0.0209 0.9791 0.4874 1
I2 0.2829 0.7171 0.1773 1
I3 0.3470 0.6530 0.8316 1
I4 0.3597 0.6403 0.4863 1
I5 0.4674 0.5326 0.2290 1
I6 0.5326 0.4674 0.7290 1
I7 0.6403 0.3597 0.9863 1
I8 0.6530 0.3470 0.3316 1
I9 0.7171 0.2829 0.6773 1
I10 0.9791 0.0209 0.9874 1
# Calculated density (g/cm³): 4.9
# Symmetry: Cmc2_1 (36)
# D(E_F) (states/eV/cell): 2.564
# Energy (eV per formula unit): -22.9

***

Record 8
# RbTlInI3 GGA-PBE relaxed
data_RbTlInI3
_symmetry_space_group_name_H-M 'P 1'
_symmetry_Int_Tables_number 1
_cell_length_a 9.7284
_cell_length_b 4.9167
_cell_length_c 12.7821
_cell_angle_alpha 90.00
_cell_angle_beta 104.87
_cell_angle_gamma 90.00
loop_
_symmetry_equiv_pos_as_xyz
'x,y,z'
loop_
_atom_site_label
_atom_site_fract_x
_atom_site_fract_y
_atom_site_fract_z
_atom_site_occupancy
Rb1 0.2309 0.2500 0.2070 1
Rb2 0.7691 0.7500 0.7930 1
Tl1 0.1632 0.7500 0.6459 1
Tl2 0.8368 0.2500 0.3541 1
In1 0.3966 0.2500 0.9530 1
In2 0.6034 0.7500 0.0470 1
I1 0.0934 0.7500 0.3681 1
I2 0.1667 0.7500 0.9384 1
I3 0.4516 0.2500 0.7292 1
I4 0.5484 0.7500 0.2708 1
I5 0.8333 0.2500 0.0616 1
I6 0.9066 0.2500 0.6319 1
# Calculated density (g/cm³): 4.4
# Symmetry: P2_1/m (11)
# D(E_F) (states/eV/cell): 0.000
# Energy (eV per formula unit): -15.7

***

Record 9
# RbTl3In2I6 GGA-PBE relaxed
data_RbTl3In2I6
_symmetry_space_group_name_H-M 'P 1'
_symmetry_Int_Tables_number 1
_cell_length_a 8.7406
_cell_length_b 8.7406
_cell_length_c 8.7246
_cell_angle_alpha 99.61
_cell_angle_beta 99.61
_cell_angle_gamma 119.97
loop_
_symmetry_equiv_pos_as_xyz
'x,y,z'
loop_
_atom_site_label
_atom_site_fract_x
_atom_site_fract_y
_atom_site_fract_z
_atom_site_occupancy
Rb1 0.0000 0.0000 0.0000 1
Tl1 0.1635 0.8365 0.5000 1
Tl2 0.5000 0.5000 0.5000 1
Tl3 0.8365 0.1635 0.5000 1
In1 0.3323 0.6677 0.0000 1
In2 0.6677 0.3323 0.0000 1
I1 0.0844 0.4273 0.2529 1
I2 0.2605 0.2605 0.7516 1
I3 0.4273 0.0844 0.2529 1
I4 0.5727 0.9156 0.7471 1
I5 0.7395 0.7395 0.2484 1
I6 0.9156 0.5727 0.7471 1
# Calculated density (g/cm³): 5.2
# Symmetry: C2/m (12)
# D(E_F) (states/eV/cell): 0.000
# Energy (eV per formula unit): -31.6

***

Record 10
# RbTl2In3I6 GGA-PBE relaxed
data_RbTl2In3I6
_symmetry_space_group_name_H-M 'P 1'
_symmetry_Int_Tables_number 1
_cell_length_a 11.2653
_cell_length_b 11.2653
_cell_length_c 10.0692
_cell_angle_alpha 102.75
_cell_angle_beta 102.75
_cell_angle_gamma 25.85
loop_
_symmetry_equiv_pos_as_xyz
'x,y,z'
loop_
_atom_site_label
_atom_site_fract_x
_atom_site_fract_y
_atom_site_fract_z
_atom_site_occupancy
Rb1 0.0000 0.0000 0.0000 1
Tl1 0.3332 0.3332 0.6650 1
Tl2 0.6668 0.6668 0.3350 1
In1 0.0000 0.0000 0.5000 1
In2 0.3340 0.3340 0.1688 1
In3 0.6660 0.6660 0.8312 1
I1 0.1675 0.1675 0.5862 1
I2 0.1715 0.1715 0.0842 1
I3 0.5000 0.5000 0.2589 1
I4 0.5000 0.5000 0.7411 1
I5 0.8285 0.8285 0.9158 1
I6 0.8325 0.8325 0.4138 1
# Calculated density (g/cm³): 4.9
# Symmetry: C2/m (12)
# D(E_F) (states/eV/cell): 0.000
# Energy (eV per formula unit): -31.5